No. 1
A plane-wave DFT calculation with PBE-GGA was carried out for a relaxed structure of Gd2AlGa.

Symmetry   P4/mmm
E above lowest polymorph   0.000 eV/atom
Total magnetization   14.18 μB per cell

abc: 3.615 3.615 7.275
angles: 90.00 90.00 90.00
Positions (direct):
Gd  0.000  0.000  0.247
Gd  0.000  0.000  0.753
Al  0.500  0.500  0.500
Ga  0.500  0.500  0.000

=====

No. 2
A plane-wave DFT calculation with PBE-GGA was carried out for a relaxed structure of GdAlGa2.

DFT total energy   -6.39 eV/atom
Symmetry   R-3m
Total magnetization   21.01 μB per cell

abc: 4.317 4.317 15.465
angles: 90.00 90.00 120.00
Positions (direct):
Gd  0.000  0.000  0.000
Gd  0.333  0.667  0.667
Gd  0.667  0.333  0.333
Al  0.000  0.000  0.500
Al  0.333  0.667  0.167
Al  0.667  0.333  0.833
Ga  0.000  0.000  0.223
Ga  0.000  0.000  0.777
Ga  0.333  0.667  0.444
Ga  0.333  0.667  0.890
Ga  0.667  0.333  0.110
Ga  0.667  0.333  0.556